(1)
Material: TbErBeZn
Method: DFT, PBE
State: optimized geometry Values from VASP.

## Properties
The calculation puts the energy relative to the elements at -110 meV/atom. Its space group is F-43m (216). The calculation puts the total magnetic moment at 0.00 μB per formula unit. The value obtained for the mass density is 7.84 g cm⁻³.

Structure (Quantum ESPRESSO input):
```
&SYSTEM
  ibrav = 0, nat = 4, ntyp = 4
/
ATOMIC_SPECIES
Tb 158.93 Tb.upf
Er 167.26 Er.upf
Be 9.01 Be.upf
Zn 65.41 Zn.upf
CELL_PARAMETERS angstrom
0.0000 3.4874 3.4874
3.4874 0.0000 3.4874
3.4874 3.4874 0.0000
ATOMIC_POSITIONS crystal
Tb 0.0000 0.0000 0.0000
Er 0.5000 0.5000 0.5000
Be 0.2500 0.2500 0.2500
Zn 0.7500 0.7500 0.7500
```


(2)
Material: GdPuTc4
Method: DFT, PBE
State: optimized geometry Values from VASP.

## Properties
The calculation puts the energy relative to the elements at -1 meV/atom. Its space group is F-43m (216). The calculation puts the total magnetic moment at 12.80 μB per formula unit. The value obtained for the mass density is 11.82 g cm⁻³.

Structure (Quantum ESPRESSO input):
```
&SYSTEM
  ibrav = 0, nat = 6, ntyp = 3
/
ATOMIC_SPECIES
Gd 157.25 Gd.upf
Pu 244.00 Pu.upf
Tc 98.00 Tc.upf
CELL_PARAMETERS angstrom
0.0000 3.8190 3.8190
3.8190 0.0000 3.8190
3.8190 3.8190 0.0000
ATOMIC_POSITIONS crystal
Gd 0.0000 0.0000 0.0000
Pu 0.7500 0.7500 0.7500
Tc 0.3749 0.3749 0.3749
Tc 0.3749 0.3749 0.8752
Tc 0.3749 0.8752 0.3749
Tc 0.8752 0.3749 0.3749
```


(3)
Material: Mg2SbRh2
Method: DFT, PBE
State: optimized geometry Values from VASP.

## Properties
Its excess energy over the best structure of this formula in the dataset is 0.13 eV/f.u. Its space group is P4/mbm (127). The calculation puts the total magnetic moment at 0.00 μB per formula unit. The value obtained for the mass density is 6.79 g cm⁻³. The formation energy without anion corrections is -0.44 eV per atom.

Structure (Quantum ESPRESSO input):
```
&SYSTEM
  ibrav = 0, nat = 10, ntyp = 3
/
ATOMIC_SPECIES
Mg 24.30 Mg.upf
Sb 121.76 Sb.upf
Rh 102.91 Rh.upf
CELL_PARAMETERS angstrom
6.6934 0.0000 0.0000
0.0000 6.6934 0.0000
0.0000 0.0000 4.1047
ATOMIC_POSITIONS crystal
Mg 0.1571 0.3429 0.0000
Mg 0.3429 0.8429 0.0000
Mg 0.6571 0.1571 0.0000
Mg 0.8429 0.6571 0.0000
Sb 0.0000 0.0000 0.5000
Sb 0.5000 0.5000 0.5000
Rh 0.1455 0.6455 0.5000
Rh 0.3545 0.1455 0.5000
Rh 0.6455 0.8545 0.5000
Rh 0.8545 0.3545 0.5000
```


(4)
Material: Tb2ScTlC
Method: DFT, PBE
State: optimized geometry Values from VASP.

## Properties
The calculation puts the energy relative to the elements at -482 meV/atom. Its space group is P4/mmm (123). The calculation puts the total magnetic moment at 0.00 μB per formula unit. The value obtained for the mass density is 8.53 g cm⁻³.

Structure (Quantum ESPRESSO input):
```
&SYSTEM
  ibrav = 0, nat = 5, ntyp = 4
/
ATOMIC_SPECIES
Tb 158.93 Tb.upf
Sc 44.96 Sc.upf
Tl 204.38 Tl.upf
C 12.01 C.upf
CELL_PARAMETERS angstrom
4.9594 0.0000 0.0000
0.0000 4.9594 0.0000
0.0000 0.0000 4.5839
ATOMIC_POSITIONS crystal
Tb 0.0000 0.5000 0.0000
Tb 0.5000 0.0000 0.0000
Sc 0.0000 0.0000 0.5000
Tl 0.5000 0.5000 0.5000
C 0.0000 0.0000 0.0000
```


(5)
Material: Na5B7C3
Method: DFT, PBE
State: optimized geometry Values from VASP.

## Properties
Its excess energy over the best structure of this formula in the dataset is 0.07 eV/f.u. The calculation puts the energy relative to the elements at 117 meV/atom. Its space group is C2/m (12). The calculation puts the total magnetic moment at 0.00 μB per formula unit. The value obtained for the mass density is 2.42 g cm⁻³.

Structure (Quantum ESPRESSO input):
```
&SYSTEM
  ibrav = 0, nat = 30, ntyp = 3
/
ATOMIC_SPECIES
Na 22.99 Na.upf
B 10.81 B.upf
C 12.01 C.upf
CELL_PARAMETERS angstrom
8.9723 -1.4050 0.0000
8.9723 1.4050 0.0000
-5.3136 0.0000 12.3617
ATOMIC_POSITIONS crystal
Na 0.0000 0.0000 0.0000
Na 0.0000 0.0000 0.5000
Na 0.2004 0.2004 0.3979
Na 0.2009 0.2009 0.9024
Na 0.3976 0.3976 0.2960
Na 0.3985 0.3985 0.8045
Na 0.6015 0.6015 0.1955
Na 0.6024 0.6024 0.7040
Na 0.7991 0.7991 0.0976
Na 0.7996 0.7996 0.6021
B 0.0236 0.0236 0.2932
B 0.1646 0.1646 0.0772
B 0.1734 0.1734 0.5991
B 0.2402 0.2402 0.7344
B 0.3695 0.3695 0.4897
B 0.4306 0.4306 0.1094
B 0.4328 0.4328 0.6195
B 0.5672 0.5672 0.3805
B 0.5694 0.5694 0.8906
B 0.6305 0.6305 0.5103
B 0.7598 0.7598 0.2656
B 0.8266 0.8266 0.4009
B 0.8354 0.8354 0.9228
B 0.9764 0.9764 0.7068
C 0.0368 0.0368 0.8268
C 0.2286 0.2286 0.2024
C 0.3674 0.3674 0.9854
C 0.6325 0.6325 0.0146
C 0.7714 0.7714 0.7976
C 0.9632 0.9632 0.1732
```


(6)
Material: La4MnNi
Method: DFT, PBE
State: optimized geometry Values from VASP.

## Properties
The calculation puts the energy relative to the elements at 826 meV/atom. Its space group is F-43m (216). The calculation puts the total magnetic moment at 3.80 μB per formula unit. The value obtained for the mass density is 6.18 g cm⁻³.

Structure (Quantum ESPRESSO input):
```
&SYSTEM
  ibrav = 0, nat = 6, ntyp = 3
/
ATOMIC_SPECIES
La 138.91 La.upf
Mn 54.94 Mn.upf
Ni 58.69 Ni.upf
CELL_PARAMETERS angstrom
0.0000 4.4788 4.4788
4.4788 0.0000 4.4788
4.4788 4.4788 0.0000
ATOMIC_POSITIONS crystal
La 0.1255 0.1255 0.1255
La 0.1255 0.1255 0.6236
La 0.1255 0.6236 0.1255
La 0.6236 0.1255 0.1255
Mn 0.7500 0.7500 0.7500
Ni 0.5000 0.5000 0.5000
```


(7)
Material: NbAs2AuBr
Method: DFT, PBE
State: optimized geometry Values from VASP.

## Properties
Its excess energy over the best structure of this formula in the dataset is 3.43 eV/f.u. Its space group is P4/mmm (123). The calculation puts the total magnetic moment at 2.08 μB per formula unit. The value obtained for the mass density is 6.73 g cm⁻³. The formation energy without anion corrections is 1.08 eV per atom.

Structure (Quantum ESPRESSO input):
```
&SYSTEM
  ibrav = 0, nat = 5, ntyp = 4
/
ATOMIC_SPECIES
Nb 92.91 Nb.upf
As 74.92 As.upf
Au 196.97 Au.upf
Br 79.90 Br.upf
CELL_PARAMETERS angstrom
4.9861 0.0000 0.0000
0.0000 4.9861 0.0000
0.0000 0.0000 5.1564
ATOMIC_POSITIONS crystal
Nb 0.0000 0.0000 0.0000
As 0.0000 0.5000 0.5000
As 0.5000 0.0000 0.5000
Au 0.5000 0.5000 0.5000
Br 0.5000 0.5000 0.0000
```


(8)
Material: Cr2CuMo
Method: DFT, PBE
State: optimized geometry Values from VASP.

## Properties
Its excess energy over the best structure of this formula in the dataset is 0.66 eV/f.u. The calculation puts the energy relative to the elements at 359 meV/atom. Its space group is Pmmm (47). The calculation puts the total magnetic moment at 0.00 μB per formula unit. The value obtained for the mass density is 8.38 g cm⁻³.

Structure (Quantum ESPRESSO input):
```
&SYSTEM
  ibrav = 0, nat = 4, ntyp = 3
/
ATOMIC_SPECIES
Cr 52.00 Cr.upf
Cu 63.55 Cu.upf
Mo 95.94 Mo.upf
CELL_PARAMETERS angstrom
2.4531 0.0000 0.0000
0.0000 4.0144 0.0000
0.0000 0.0000 5.3005
ATOMIC_POSITIONS crystal
Cr 0.0000 0.0000 0.2266
Cr 0.0000 0.0000 0.7734
Cu 0.5000 0.5000 0.0000
Mo 0.5000 0.5000 0.5000
```


- Which of these has the highest total magnetic moment?
  GdPuTc4